No. 1
Density functional theory data (GGA-PBE) for an optimized crystal structure of Li3Bi5.

Its raw total energy is -3.366 eV per atom. The calculation puts the formation energy at -222 meV/atom.

a = 8.858 Å, b = 10.090 Å, c = 4.796 Å
α = 90.00°, β = 90.00°, γ = 90.00°
Sites, in units of the cell vectors:
Li 0.000 0.000 0.000
Li 0.000 0.258 0.500
Li 0.000 0.742 0.500
Li 0.500 0.242 0.500
Li 0.500 0.500 0.000
Li 0.500 0.758 0.500
Bi 0.000 0.500 0.000
Bi 0.225 0.000 0.500
Bi 0.250 0.250 0.000
Bi 0.250 0.750 0.000
Bi 0.275 0.500 0.500
Bi 0.500 0.000 0.000
Bi 0.725 0.500 0.500
Bi 0.750 0.250 0.000
Bi 0.750 0.750 0.000
Bi 0.775 0.000 0.500

---

No. 2
Density functional theory data (GGA-PBE) for an optimized crystal structure of Li3Bi5.

Its raw total energy is -3.372 eV per atom. The calculation puts the formation energy at -229 meV/atom.

a = 3.443 Å, b = 3.443 Å, c = 17.395 Å
α = 90.00°, β = 90.00°, γ = 90.00°
Sites, in units of the cell vectors:
Li 0.000 0.000 0.000
Li 0.500 0.500 0.389
Li 0.500 0.500 0.611
Bi 0.000 0.000 0.279
Bi 0.000 0.000 0.500
Bi 0.000 0.000 0.721
Bi 0.500 0.500 0.105
Bi 0.500 0.500 0.895

---

No. 3
Density functional theory data (GGA-PBE) for an optimized crystal structure of LiBi.

Its raw total energy is -3.277 eV per atom. The calculation puts the formation energy at -380 meV/atom.

a = 3.358 Å, b = 3.358 Å, c = 4.279 Å
α = 90.00°, β = 90.00°, γ = 90.00°
Sites, in units of the cell vectors:
Li 0.000 0.000 0.000
Bi 0.500 0.500 0.500

---

No. 4
Density functional theory data (GGA-PBE) for an optimized crystal structure of Li6Bi.

Its raw total energy is -1.873 eV per atom. The calculation puts the formation energy at 322 meV/atom.

a = 6.848 Å, b = 6.848 Å, c = 6.848 Å
α = 90.00°, β = 90.00°, γ = 90.00°
Sites, in units of the cell vectors:
Li 0.000 0.250 0.500
Li 0.000 0.500 0.250
Li 0.000 0.500 0.750
Li 0.000 0.750 0.500
Li 0.250 0.000 0.500
Li 0.250 0.500 0.000
Li 0.500 0.000 0.250
Li 0.500 0.000 0.750
Li 0.500 0.250 0.000
Li 0.500 0.750 0.000
Li 0.750 0.000 0.500
Li 0.750 0.500 0.000
Bi 0.000 0.000 0.000
Bi 0.500 0.500 0.500

---

Q: raw total energy of number 2 (Li3Bi5)?
A: -3.372 eV per atom